(1)
DFT (PBE-GGA) results for crystalline LiSi3 at its relaxed geometry.

Geometry as POSCAR:
```
LiSi3
1.0
4.900 -0.108 0.000
-2.050 4.452 0.000
0.000 0.000 2.643
Si Li
3 1
direct
0.500 0.000 0.500
0.000 0.500 0.500
0.500 0.500 0.000
0.000 0.000 0.000
```

Summary:
ΔE_f (raw): 0.8 eV per formula unit
Energy: -17.42 eV/cell


(2)
DFT (PBE-GGA) results for crystalline Li3Si at its relaxed geometry.

Geometry as POSCAR:
```
Li3Si
1.0
-2.638 0.118 -3.424
-2.185 -0.169 1.678
-0.808 5.014 0.795
Li Si
3 1
direct
0.000 0.549 0.475
0.500 0.750 0.750
0.000 0.951 0.025
0.500 0.250 0.250
```

Summary:
ΔE_f (raw): -0.5 eV per formula unit
Energy: -11.67 eV/cell


(3)
DFT (PBE-GGA) results for crystalline Li5Si at its relaxed geometry.

Geometry as POSCAR:
```
Li5Si
1.0
-2.320 -1.596 3.455
2.249 -2.786 -2.651
4.342 0.512 3.153
Li Si
5 1
direct
0.306 0.611 0.611
0.972 0.945 0.331
0.639 0.277 0.891
0.972 0.944 0.892
0.639 0.278 0.330
0.306 0.611 0.111
```

Summary:
ΔE_f (raw): -1.0 eV per formula unit
Energy: -15.97 eV/cell


(4)
DFT (PBE-GGA) results for crystalline Li5Si at its relaxed geometry.

Geometry as POSCAR:
```
Li5Si
1.0
4.532 0.000 0.000
0.000 4.580 0.000
0.000 -2.290 4.542
Li Si
5 1
direct
0.500 0.500 0.000
0.000 0.666 0.332
0.500 0.146 0.292
0.000 0.334 0.668
0.500 0.854 0.708
0.000 0.000 0.000
```

Summary:
ΔE_f (raw): -0.9 eV per formula unit
Energy: -15.86 eV/cell


(5)
DFT (PBE-GGA) results for crystalline Li7Si at its relaxed geometry.

Geometry as POSCAR:
```
Li7Si
1.0
-4.254 -2.599 -2.810
-4.689 2.943 -1.451
-0.998 1.268 -5.490
Si Li
1 7
direct
0.000 0.000 0.000
0.000 0.500 0.500
0.500 0.000 0.500
0.500 0.500 0.500
0.500 0.000 0.000
0.000 0.500 0.000
0.000 0.000 0.500
0.500 0.500 0.000
```

Summary:
ΔE_f (raw): -0.3 eV per formula unit
Energy: -19.08 eV/cell


(6)
DFT (PBE-GGA) results for crystalline Li13Si4 at its relaxed geometry.

Geometry as POSCAR:
```
Li13Si4
1.0
4.427 0.000 0.000
0.000 7.918 0.000
0.000 0.000 15.062
Si Li
8 26
direct
0.500 0.073 0.069
0.500 0.427 0.569
0.000 0.916 0.660
0.000 0.584 0.160
0.500 0.927 0.931
0.000 0.416 0.840
0.500 0.573 0.431
0.000 0.084 0.340
0.500 0.759 0.595
0.500 0.404 0.106
0.500 0.741 0.095
0.500 0.904 0.394
0.000 0.095 0.806
0.500 0.407 0.744
0.000 0.405 0.306
0.000 0.230 0.153
0.000 0.905 0.194
0.000 0.347 0.474
0.000 0.270 0.653
0.000 0.653 0.526
0.500 0.596 0.894
0.000 0.595 0.694
0.500 0.259 0.905
0.500 0.093 0.244
0.000 0.500 0.000
0.500 0.241 0.405
0.000 0.000 0.500
0.000 0.730 0.347
0.000 0.153 0.974
0.500 0.096 0.606
0.500 0.907 0.756
0.000 0.770 0.847
0.000 0.847 0.026
0.500 0.593 0.256
```

Summary:
ΔE_f (raw): -4.1 eV per formula unit
Energy: -101.41 eV/cell